Entry from Alexandria via LeMat-Bulk: crystalline Pu7SeBr12 at its relaxed geometry (PBE-GGA).

a = 9.3710 Å, b = 9.3710 Å, c = 9.3710 Å
α = 107.43°, β = 107.43°, γ = 107.43°
Closest atoms and distances in Å follow each position.
Element x y z (fractional)
Pu 0.0000 0.0000 0.0000  6 Br 2.96
Pu 0.1601 0.4649 0.3875  1 Se 2.92, 5 Br 2.95-2.98
Pu 0.3875 0.1601 0.4649  1 Se 2.92, 5 Br 2.95-2.98
Pu 0.4649 0.3875 0.1601  1 Se 2.92, 5 Br 2.95-2.98
Pu 0.5351 0.6125 0.8399  1 Se 2.92, 5 Br 2.95-2.98
Pu 0.6125 0.8399 0.5351  1 Se 2.92, 5 Br 2.95-2.98
Pu 0.8399 0.5351 0.6125  1 Se 2.92, 5 Br 2.95-2.98
Se 0.5000 0.5000 0.5000  6 Pu 2.92
Br 0.0384 0.1166 0.3456  3 Pu 2.96-2.98
Br 0.1166 0.3456 0.0384  3 Pu 2.96-2.98
Br 0.1884 0.5768 0.7289  3 Pu 2.95-2.98
Br 0.2711 0.8116 0.4232  3 Pu 2.95-2.98
Br 0.3456 0.0384 0.1166  3 Pu 2.96-2.98
Br 0.4232 0.2711 0.8116  3 Pu 2.95-2.98
Br 0.5768 0.7289 0.1884  3 Pu 2.95-2.98
Br 0.6544 0.9616 0.8834  3 Pu 2.96-2.98
Br 0.7289 0.1884 0.5768  3 Pu 2.95-2.98
Br 0.8116 0.4232 0.2711  3 Pu 2.95-2.98
Br 0.8834 0.6544 0.9616  3 Pu 2.96-2.98
Br 0.9616 0.8834 0.6544  3 Pu 2.96-2.98

- Energy: -7.632 eV/atom
- Energy relative to the elements, uncorrected: -1.438 eV per atom
- Symmetry: R-3, No. 148